Record 1
{
  "formula": "Tm7Sn2Pt2",
  "functional": "GGA-PBE",
  "state": "optimized geometry",
  "volume_a3_per_fu": 311.3,
  "ef_ev_per_atom": -0.647,
  "energy_ev_per_cell": -58.5,
  "lattice": [[4.125, -5.401, 0.000], [4.125, 5.401, 0.000], [0.000, 0.000, 6.987]],
  "species": ["Tm", "Tm", "Tm", "Tm", "Tm", "Tm", "Tm", "Sn", "Sn", "Pt", "Pt"],
  "fractional_positions": [[0.000, 0.000, 0.000], [0.000, 0.500, 0.251], [0.000, 0.500, 0.749], [0.500, 0.000, 0.251], [0.500, 0.000, 0.749], [0.500, 0.500, 0.240], [0.500, 0.500, 0.760], [0.182, 0.182, 0.500], [0.818, 0.818, 0.500], [0.285, 0.715, 0.000], [0.715, 0.285, 0.000]]
}

Record 2
{
  "formula": "Dy5ErHg6",
  "functional": "GGA-PBE",
  "state": "optimized geometry",
  "volume_a3_per_fu": 308.1,
  "ef_ev_per_atom": -0.481,
  "energy_ev_per_cell": -35.2,
  "lattice": [[5.242, 0.000, 0.000], [0.000, 7.444, 0.000], [-2.581, 0.000, 7.894]],
  "species": ["Dy", "Dy", "Dy", "Dy", "Dy", "Er", "Hg", "Hg", "Hg", "Hg", "Hg", "Hg"],
  "fractional_positions": [[0.000, 0.000, 0.000], [0.333, 0.000, 0.666], [0.334, 0.500, 0.668], [0.666, 0.500, 0.332], [0.667, 0.000, 0.334], [0.000, 0.500, 0.000], [0.166, 0.252, 0.332], [0.166, 0.748, 0.332], [0.500, 0.252, 0.000], [0.500, 0.748, 0.000], [0.834, 0.252, 0.668], [0.834, 0.748, 0.668]]
}

Record 3
{
  "formula": "Zn3SnO",
  "functional": "GGA-PBE",
  "state": "optimized geometry",
  "volume_a3_per_fu": 82.2,
  "polymorph_energy_mev_per_atom": 0,
  "formation_energy_uncorrected_ev_per_atom": -0.124,
  "energy_ev_per_cell": -13.4,
  "lattice": [[4.349, 0.000, 0.000], [0.000, 4.349, 0.000], [0.000, 0.000, 4.349]],
  "species": ["Zn", "Zn", "Zn", "Sn", "O"],
  "fractional_positions": [[0.000, 0.000, 0.500], [0.000, 0.500, 0.000], [0.500, 0.000, 0.000], [0.500, 0.500, 0.500], [0.000, 0.000, 0.000]]
}

Record 4
{
  "formula": "Sr2Si7Ni12",
  "functional": "GGA-PBE",
  "state": "optimized geometry",
  "volume_a3_per_fu": 282.1,
  "formation_energy_uncorrected_ev_per_atom": -0.510,
  "energy_ev_per_cell": -121.4,
  "lattice": [[9.280, 0.000, 0.000], [-4.640, 8.037, 0.000], [0.000, 0.000, 3.783]],
  "species": ["Sr", "Sr", "Si", "Si", "Si", "Si", "Si", "Si", "Si", "Ni", "Ni", "Ni", "Ni", "Ni", "Ni", "Ni", "Ni", "Ni", "Ni", "Ni", "Ni"],
  "fractional_positions": [[0.000, 0.000, 0.000], [0.333, 0.667, 0.500], [0.044, 0.447, 0.000], [0.273, 0.247, 0.500], [0.403, 0.956, 0.000], [0.553, 0.597, 0.000], [0.667, 0.333, 0.000], [0.753, 0.026, 0.500], [0.974, 0.727, 0.500], [0.031, 0.283, 0.500], [0.121, 0.737, 0.000], [0.252, 0.969, 0.500], [0.263, 0.384, 0.000], [0.390, 0.197, 0.000], [0.564, 0.427, 0.500], [0.573, 0.137, 0.500], [0.616, 0.879, 0.000], [0.717, 0.748, 0.500], [0.803, 0.193, 0.000], [0.807, 0.610, 0.000], [0.863, 0.436, 0.500]]
}

Record 5
{
  "formula": "Mg2MoIr",
  "functional": "GGA-PBE",
  "state": "optimized geometry",
  "volume_a3_per_fu": 64.7,
  "ef_ev_per_atom": 0.322,
  "polymorph_energy_mev_per_atom": 438,
  "energy_ev_per_cell": -21.6,
  "lattice": [[4.670, 0.000, 0.000], [0.000, 4.670, 0.000], [0.000, 0.000, 2.967]],
  "species": ["Mg", "Mg", "Mo", "Ir"],
  "fractional_positions": [[0.000, 0.500, 0.000], [0.500, 0.000, 0.000], [0.000, 0.000, 0.500], [0.500, 0.500, 0.500]]
}

Record 6
{
  "formula": "TbNd3Al8",
  "functional": "GGA-PBE",
  "state": "optimized geometry",
  "volume_a3_per_fu": 257.3,
  "ef_ev_per_atom": -0.491,
  "polymorph_energy_mev_per_atom": 11,
  "energy_ev_per_cell": -54.8,
  "lattice": [[5.649, 0.000, 0.000], [-2.824, 4.892, 0.000], [0.000, 0.000, 9.309]],
  "species": ["Tb", "Nd", "Nd", "Nd", "Al", "Al", "Al", "Al", "Al", "Al", "Al", "Al"],
  "fractional_positions": [[0.000, 0.000, 0.000], [0.000, 0.000, 0.364], [0.667, 0.333, 0.501], [0.667, 0.333, 0.864], [0.162, 0.324, 0.684], [0.162, 0.838, 0.684], [0.333, 0.667, 0.430], [0.333, 0.667, 0.933], [0.504, 0.009, 0.179], [0.504, 0.496, 0.179], [0.676, 0.838, 0.684], [0.991, 0.496, 0.179]]
}

Record 7
{
  "formula": "TcRuRh5",
  "functional": "GGA-PBE",
  "state": "optimized geometry",
  "volume_a3_per_fu": 107.7,
  "ef_ev_per_atom": 0.358,
  "energy_ev_per_cell": -107.8,
  "lattice": [[4.303, -2.970, 0.000], [4.303, 2.970, 0.000], [-3.180, 0.000, 8.427]],
  "species": ["Tc", "Tc", "Ru", "Ru", "Rh", "Rh", "Rh", "Rh", "Rh", "Rh", "Rh", "Rh", "Rh", "Rh"],
  "fractional_positions": [[0.072, 0.928, 0.750], [0.928, 0.072, 0.250], [0.000, 0.500, 0.000], [0.500, 0.000, 0.500], [0.156, 0.349, 0.726], [0.244, 0.603, 0.527], [0.349, 0.156, 0.226], [0.349, 0.651, 0.250], [0.397, 0.756, 0.973], [0.603, 0.244, 0.027], [0.651, 0.349, 0.750], [0.651, 0.844, 0.774], [0.756, 0.397, 0.473], [0.844, 0.651, 0.274]]
}

Record 8
{
  "formula": "KNaAl2",
  "functional": "GGA-PBE",
  "state": "optimized geometry",
  "volume_a3_per_fu": 115.8,
  "ef_ev_per_atom": 0.494,
  "polymorph_energy_mev_per_atom": 109,
  "energy_ev_per_cell": -31.7,
  "lattice": [[7.736, 0.000, 0.000], [0.000, 7.736, 0.000], [0.000, 0.000, 7.736]],
  "species": ["K", "K", "K", "K", "Na", "Na", "Na", "Na", "Al", "Al", "Al", "Al", "Al", "Al", "Al", "Al"],
  "fractional_positions": [[0.000, 0.000, 0.000], [0.000, 0.500, 0.500], [0.500, 0.000, 0.500], [0.500, 0.500, 0.000], [0.000, 0.000, 0.500], [0.000, 0.500, 0.000], [0.500, 0.000, 0.000], [0.500, 0.500, 0.500], [0.250, 0.250, 0.250], [0.250, 0.250, 0.750], [0.250, 0.750, 0.250], [0.250, 0.750, 0.750], [0.750, 0.250, 0.250], [0.750, 0.250, 0.750], [0.750, 0.750, 0.250], [0.750, 0.750, 0.750]]
}